Rb2Tl4Rh | PBE | optimized geometry

Cell lengths 10.3045, 10.3045, 10.3045 Å; angles 149.93, 149.93, 43.05 degrees
Atoms (fractional coordinates):
Rb 0.1611 0.1611 0.0000
Rb 0.8389 0.8389 0.0000
Tl 0.0000 0.5000 0.5000
Tl 0.3587 0.3587 0.0000
Tl 0.5000 0.0000 0.5000
Tl 0.6413 0.6413 0.0000
Rh 0.5000 0.5000 0.0000

Calculated values
Final energy: -2.686 eV per atom
N(E_F): 6.2 states/eV per cell
E_form: -8 meV per atom
SG: I4/mmm
ρ: 6.61 Mg/m³
Magnetization: 0.000 μB per formula unit